No. 1
{"formula": "KTaAg3", "functional": "PBE", "state": "optimized geometry", "e_form_ev_per_atom": 0.977, "mass_density_g_cm3": 6.0, "energy_ev_per_atom": -3.32, "crystal_system": "cubic", "lattice": [[5.3153, 0.0000, 0.0000], [0.0000, 5.3153, 0.0000], [0.0000, 0.0000, 5.3153]], "species": ["K", "Ta", "Ag", "Ag", "Ag"], "fractional_positions": [[0.0000, 0.0000, 0.0000], [0.5000, 0.5000, 0.5000], [0.0000, 0.5000, 0.5000], [0.5000, 0.0000, 0.5000], [0.5000, 0.5000, 0.0000]]}

=====

No. 2
{"formula": "KTa2VAg", "functional": "PBE", "state": "optimized geometry", "e_form_ev_per_atom": 2.158, "mass_density_g_cm3": 7.2, "energy_ev_per_atom": -5.20, "crystal_system": "tetragonal", "lattice": [[5.0879, 0.0000, 0.0000], [0.0000, 5.0879, 0.0000], [0.0000, 0.0000, 5.0107]], "species": ["K", "Ta", "Ta", "V", "Ag"], "fractional_positions": [[0.0000, 0.0000, 0.0000], [0.0000, 0.5000, 0.5000], [0.5000, 0.0000, 0.5000], [0.5000, 0.5000, 0.0000], [0.5000, 0.5000, 0.5000]]}

=====

No. 3
{"formula": "KTbAg2", "functional": "PBE", "state": "optimized geometry", "e_form_ev_per_atom": -0.117, "mass_density_g_cm3": 5.9, "energy_ev_per_atom": -2.97, "crystal_system": "tetragonal", "lattice": [[3.7670, 0.0000, 0.0000], [0.0000, 3.7670, 0.0000], [0.0000, 0.0000, 8.2207]], "species": ["K", "Tb", "Ag", "Ag"], "fractional_positions": [[0.0000, 0.0000, 0.0000], [0.0000, 0.0000, 0.5000], [0.5000, 0.5000, 0.3139], [0.5000, 0.5000, 0.6861]]}

=====

No. 4
{"formula": "KTb2AgTe4", "functional": "PBE", "state": "optimized geometry", "raw_formation_energy_ev_per_atom": -1.15, "mass_density_g_cm3": 6.1, "energy_ev_per_atom": -4.37, "crystal_system": "orthorhombic", "lattice": [[2.2305, -7.5073, 0.0000], [2.2305, 7.5073, 0.0000], [0.0000, 0.0000, 15.8443]], "species": ["K", "K", "Tb", "Tb", "Tb", "Tb", "Ag", "Ag", "Te", "Te", "Te", "Te", "Te", "Te", "Te", "Te"], "fractional_positions": [[0.1260, 0.8740, 0.7500], [0.8740, 0.1260, 0.2500], [0.3689, 0.6311, 0.5700], [0.3689, 0.6311, 0.9300], [0.6311, 0.3689, 0.0700], [0.6311, 0.3689, 0.4300], [0.1592, 0.8408, 0.2500], [0.8408, 0.1592, 0.7500], [0.0000, 0.0000, 0.0000], [0.0000, 0.0000, 0.5000], [0.2685, 0.7315, 0.1058], [0.2685, 0.7315, 0.3942], [0.4514, 0.5486, 0.7500], [0.5486, 0.4514, 0.2500], [0.7315, 0.2685, 0.6058], [0.7315, 0.2685, 0.8942]]}

=====

No. 5
{"formula": "KTb3Ag2Te6", "functional": "PBE", "state": "optimized geometry", "raw_formation_energy_ev_per_atom": -0.99, "mass_density_g_cm3": 6.5, "energy_ev_per_atom": -4.28, "crystal_system": "monoclinic", "lattice": [[9.8823, -2.2213, 0.0000], [9.8823, 2.2213, 0.0000], [-2.2548, 0.0000, 8.6740]], "species": ["K", "Tb", "Tb", "Tb", "Ag", "Ag", "Te", "Te", "Te", "Te", "Te", "Te"], "fractional_positions": [[0.0000, 0.0000, 0.0000], [0.0000, 0.0000, 0.5000], [0.3334, 0.3334, 0.1755], [0.6666, 0.6666, 0.8245], [0.3420, 0.3420, 0.6825], [0.6580, 0.6580, 0.3175], [0.1653, 0.1653, 0.5773], [0.1738, 0.1738, 0.0831], [0.4968, 0.4968, 0.2659], [0.5032, 0.5032, 0.7341], [0.8262, 0.8262, 0.9169], [0.8347, 0.8347, 0.4227]]}

=====

No. 6
{"formula": "KTc2Ag", "functional": "PBE", "state": "optimized geometry", "e_form_ev_per_atom": 1.038, "mass_density_g_cm3": 6.4, "energy_ev_per_atom": -5.13, "crystal_system": "orthorhombic", "lattice": [[-1.5768, 2.8171, 5.0333], [1.5768, -2.8171, 5.0333], [1.5768, 2.8171, -5.0333]], "species": ["K", "Tc", "Tc", "Ag"], "fractional_positions": [[0.0000, 0.0000, 0.0000], [0.3003, 0.8003, 0.5000], [0.4641, 0.4641, 0.0000], [0.7070, 0.2070, 0.5000]]}